# 1
Compound: AlBiN3
Source: Alexandria
Functional: meta-GGA SCAN
Structure: single point on PBEsol structure

Lattice parameters (Å, degrees): 4.2284 4.2284 4.2284 90.00 90.00 90.00
Last column: nearest neighbours and their distance in Å.
Sites, in units of the cell vectors:
Al1 0.5000 0.5000 0.5000  12 N 2.99
N1 0.5000 0.0000 0.0000  2 Bi 2.11
N2 0.0000 0.5000 0.0000  2 Bi 2.11
N3 0.0000 0.0000 0.5000  2 Bi 2.11
Bi1 0.0000 0.0000 0.0000  6 N 2.11

Values from the calculation:
Final energy = -20.691 eV per atom
Size of the total moment = 2.15 μB/cell
Energy relative to the elements, uncorrected = 2150.0 meV per atom

# 2
Compound: ZnHg5
Source: Alexandria
Functional: meta-GGA SCAN
Structure: single point on PBEsol structure

Lattice parameters (Å, degrees): 4.2276 6.1129 6.1129 120.00 90.00 90.00
Last column: nearest neighbours and their distance in Å.
Sites, in units of the cell vectors:
Hg1 0.0000 0.6948 0.0000  2 Zn 2.82, 4 Hg 3.00
Hg2 0.0000 0.0000 0.6948  2 Zn 2.82, 4 Hg 3.00
Hg3 0.5000 0.3333 0.6667  6 Hg 3.00
Hg4 0.5000 0.6667 0.3333  6 Hg 3.00
Hg5 0.0000 0.3052 0.3052  2 Zn 2.82, 4 Hg 3.00
Zn1 0.5000 0.0000 0.0000  6 Hg 2.82

Values from the calculation:
Final energy = -58.973 eV per atom
Size of the total moment = 0.00 μB/cell
Calculated formation energy = 0.51 eV/f.u.

# 3
Compound: SrCo4W
Source: Alexandria
Functional: meta-GGA SCAN
Structure: single point on PBEsol structure

Lattice parameters (Å, degrees): 4.8296 4.8296 4.8296 60.00 60.00 60.00
Last column: nearest neighbours and their distance in Å.
Sites, in units of the cell vectors:
Co1 0.3747 0.3747 0.3747  6 Co 2.41-2.42
Co2 0.3747 0.3747 0.8758  6 Co 2.41-2.42
Co3 0.3747 0.8758 0.3747  6 Co 2.41-2.42
Co4 0.8758 0.3747 0.3747  6 Co 2.41-2.42
Sr1 0.7500 0.7500 0.7500  12 Co 2.83, 4 W 2.96
W1 0.0000 0.0000 0.0000  12 Co 2.83, 4 Sr 2.96

Values from the calculation:
Final energy = -26.068 eV per atom
Size of the total moment = 4.55 μB/cell
Calculated formation energy = 4.77 eV/f.u.

# 4
Compound: YGeI2O
Source: Alexandria
Functional: meta-GGA SCAN
Structure: single point on PBEsol structure

Lattice parameters (Å, degrees): 4.0968 6.0364 6.0364 90.00 90.00 90.00
Last column: nearest neighbours and their distance in Å.
Sites, in units of the cell vectors:
I1 0.0000 0.5000 0.0000  2 Y 3.02
I2 0.0000 0.0000 0.5000  2 Y 3.02
O1 0.5000 0.0000 0.0000  2 Y 2.05
Y1 0.0000 0.0000 0.0000  2 O 2.05
Ge1 0.5000 0.5000 0.5000  8 I 3.65

Values from the calculation:
Final energy = -26.353 eV per atom
Size of the total moment = 0.71 μB/cell
Energy relative to the elements, uncorrected = -1024.0 meV per atom

no.,density (Mg/m³)
1,6.1
2,13.0
3,10.6
4,4.8